[1]
CuTeI2O: PBEsol geometry, meta-GGA SCAN.

## Properties
The value obtained for the formation energy from raw total energies is 0.257 eV/atom. The total DFT energy (no corrections) comes out at -26.176 eV per atom.

Unit cell a=5.897 b=5.897 c=4.002 alpha=90.00 beta=90.00 gamma=90.00
Space group P4/mmm (No. 123)
Inequivalent atoms, fractional coordinates:
Cu1 0.000 0.000 0.000 (multiplicity 1)
Te1 0.500 0.500 0.500 (multiplicity 1)
I1 0.000 0.500 0.500 (multiplicity 2)
O1 0.500 0.500 0.000 (multiplicity 1)

[2]
CuWI2O: PBEsol geometry, meta-GGA SCAN.

## Properties
The value obtained for the formation energy from raw total energies is 0.946 eV/atom. The total DFT energy (no corrections) comes out at -31.974 eV per atom.

Unit cell a=5.306 b=5.306 c=3.459 alpha=90.00 beta=90.00 gamma=90.00
Space group P4/mmm (No. 123)
Inequivalent atoms, fractional coordinates:
Cu1 0.000 0.000 0.000 (multiplicity 1)
W1 0.500 0.500 0.500 (multiplicity 1)
I1 0.000 0.500 0.000 (multiplicity 2)
O1 0.000 0.000 0.500 (multiplicity 1)

[3]
ZrCuI2O: PBEsol geometry, meta-GGA SCAN.

## Properties
The value obtained for the formation energy from raw total energies is -0.085 eV/atom. The total DFT energy (no corrections) comes out at -25.207 eV per atom.

Unit cell a=5.409 b=5.409 c=3.548 alpha=90.00 beta=90.00 gamma=90.00
Space group P4/mmm (No. 123)
Inequivalent atoms, fractional coordinates:
Zr1 0.000 0.000 0.000 (multiplicity 1)
Cu1 0.500 0.500 0.500 (multiplicity 1)
I1 0.000 0.500 0.500 (multiplicity 2)
O1 0.500 0.500 0.000 (multiplicity 1)

[4]
Cu3OsI: PBEsol geometry, meta-GGA SCAN.

## Properties
The value obtained for the formation energy from raw total energies is 2.117 eV/atom. The total DFT energy (no corrections) comes out at -28.727 eV per atom.

Unit cell a=4.659 b=4.659 c=4.659 alpha=90.00 beta=90.00 gamma=90.00
Space group Pm-3m (No. 221)
Inequivalent atoms, fractional coordinates:
Cu1 0.000 0.000 0.500 (multiplicity 3)
Os1 0.500 0.500 0.500 (multiplicity 1)
I1 0.000 0.000 0.000 (multiplicity 1)

[5]
CuSbOsI2: PBEsol geometry, meta-GGA SCAN.

## Properties
The value obtained for the formation energy from raw total energies is 1.564 eV/atom. The total DFT energy (no corrections) comes out at -38.001 eV per atom.

Unit cell a=5.066 b=5.066 c=5.099 alpha=90.00 beta=90.00 gamma=90.00
Space group P4/mmm (No. 123)
Inequivalent atoms, fractional coordinates:
Cu1 0.000 0.000 0.000 (multiplicity 1)
Sb1 0.000 0.000 0.500 (multiplicity 1)
Os1 0.500 0.500 0.500 (multiplicity 1)
I1 0.000 0.500 0.000 (multiplicity 2)

[6]
CuP7I: PBEsol geometry, meta-GGA SCAN.

## Properties
The value obtained for the formation energy from raw total energies is -0.070 eV/atom. The total DFT energy (no corrections) comes out at -13.929 eV per atom.

Unit cell a=9.706 b=9.650 c=16.384 alpha=90.00 beta=104.97 gamma=90.00
Space group P2_1/c (No. 14)
Inequivalent atoms, fractional coordinates:
Cu1 0.034 0.082 0.390 (multiplicity 4)
Cu2 0.309 0.642 0.679 (multiplicity 4)
P1 0.072 0.174 0.165 (multiplicity 4)
P2 0.112 0.109 0.629 (multiplicity 4)
P3 0.144 0.112 0.001 (multiplicity 4)
P4 0.146 0.196 0.305 (multiplicity 4)
P5 0.163 0.072 0.813 (multiplicity 4)
P6 0.180 0.158 0.512 (multiplicity 4)
P7 0.259 0.071 0.133 (multiplicity 4)
P8 0.304 0.034 0.728 (multiplicity 4)
P9 0.310 0.049 0.939 (multiplicity 4)
P10 0.376 0.138 0.337 (multiplicity 4)
P11 0.414 0.143 0.553 (multiplicity 4)
P12 0.462 0.231 0.951 (multiplicity 4)
P13 0.465 0.181 0.146 (multiplicity 4)
P14 0.465 0.205 0.765 (multiplicity 4)
I1 0.182 0.700 0.055 (multiplicity 4)
I2 0.207 0.693 0.806 (multiplicity 4)

[7]
Cu3PI: PBEsol geometry, meta-GGA SCAN.

## Properties
The value obtained for the formation energy from raw total energies is 1.373 eV/atom. The total DFT energy (no corrections) comes out at -17.174 eV per atom.

Unit cell a=4.774 b=4.774 c=4.774 alpha=90.00 beta=90.00 gamma=90.00
Space group Pm-3m (No. 221)
Inequivalent atoms, fractional coordinates:
Cu1 0.000 0.000 0.500 (multiplicity 3)
P1 0.500 0.500 0.500 (multiplicity 1)
I1 0.000 0.000 0.000 (multiplicity 1)

[8]
CuP4I: PBEsol geometry, meta-GGA SCAN.

## Properties
The value obtained for the formation energy from raw total energies is -0.093 eV/atom. The total DFT energy (no corrections) comes out at -15.682 eV per atom.

Unit cell a=9.588 b=13.735 c=12.585 alpha=90.00 beta=109.12 gamma=90.00
Space group P2_1 (No. 4)
Inequivalent atoms, fractional coordinates:
Cu1 0.002 0.000 0.423 (multiplicity 2)
Cu2 0.094 0.709 0.437 (multiplicity 2)
Cu3 0.196 0.156 0.209 (multiplicity 2)
Cu4 0.198 0.883 0.136 (multiplicity 2)
Cu5 0.204 0.433 0.343 (multiplicity 2)
Cu6 0.209 0.608 0.014 (multiplicity 2)
P1 0.224 0.061 0.931 (multiplicity 2)
P2 0.233 0.983 0.433 (multiplicity 2)
P3 0.304 0.291 0.985 (multiplicity 2)
P4 0.306 0.754 0.421 (multiplicity 2)
P5 0.307 0.887 0.322 (multiplicity 2)
P6 0.308 0.154 0.080 (multiplicity 2)
P7 0.314 0.850 0.867 (multiplicity 2)
P8 0.319 0.190 0.539 (multiplicity 2)
P9 0.326 0.931 0.027 (multiplicity 2)
P10 0.331 0.113 0.383 (multiplicity 2)
P11 0.344 0.339 0.482 (multiplicity 2)
P12 0.345 0.702 0.942 (multiplicity 2)
P13 0.384 0.095 0.837 (multiplicity 2)
P14 0.388 0.949 0.607 (multiplicity 2)
P15 0.406 0.527 0.391 (multiplicity 2)
P16 0.410 0.514 0.066 (multiplicity 2)
P17 0.432 0.566 0.567 (multiplicity 2)
P18 0.435 0.474 0.902 (multiplicity 2)
P19 0.452 0.674 0.339 (multiplicity 2)
P20 0.453 0.417 0.645 (multiplicity 2)
P21 0.453 0.622 0.833 (multiplicity 2)
P22 0.456 0.366 0.139 (multiplicity 2)
P23 0.470 0.242 0.907 (multiplicity 2)
P24 0.473 0.801 0.581 (multiplicity 2)
I1 0.003 0.516 0.866 (multiplicity 2)
I2 0.008 0.033 0.632 (multiplicity 2)
I3 0.090 0.333 0.167 (multiplicity 2)
I4 0.095 0.708 0.132 (multiplicity 2)
I5 0.101 0.674 0.643 (multiplicity 2)
I6 0.115 0.334 0.656 (multiplicity 2)